Here is KCr2CuF8 after structural relaxation from Alexandria. Energies are from PBE with a Hubbard U.

abc: 5.246 6.371 5.262
angles: 90.00 94.98 90.00
Atoms (fractional coordinates):
K: 0.000 0.000 0.000
Cr: 0.500 0.258 0.500
Cr: 0.500 0.742 0.500
Cu: 0.000 0.500 0.000
F: 0.231 0.284 0.226
F: 0.231 0.716 0.226
F: 0.332 0.500 0.663
F: 0.341 0.000 0.654
F: 0.659 0.000 0.346
F: 0.668 0.500 0.337
F: 0.769 0.284 0.774
F: 0.769 0.716 0.774

Calculated values
Energy ... -5.334 eV per atom
Symmetry ... No. 10